Entry A
# Fe4OF7

Crystalline Fe4OF7 at its relaxed geometry (PBE+U, Alexandria).

Lattice parameters (Å, degrees): 6.4991 4.8014 9.6107 90.00 90.08 90.00
Space group P2_1 (No. 4)
One atom of each set of equivalent atoms:
Fe  0.1052  0.0000  0.1349 x2
Fe  0.1253  0.9699  0.6328 x2
Fe  0.3705  0.5024  0.8716 x2
Fe  0.3721  0.4849  0.3782 x2
O  0.1123  0.6775  0.7822 x2
F  0.1118  0.2697  0.9718 x2
F  0.1280  0.2778  0.4816 x2
F  0.1310  0.6921  0.2717 x2
F  0.3549  0.1908  0.2188 x2
F  0.3584  0.8060  0.0311 x2
F  0.3790  0.7799  0.5277 x2
F  0.3856  0.1807  0.7316 x2

## Properties
Crystal system: monoclinic
Total moment: 17.00 μB/f.u.

=====

Entry B
# Fe4OF7

Crystalline Fe4OF7 at its relaxed geometry (PBE+U, Alexandria).

Lattice parameters (Å, degrees): 6.8764 6.8100 12.7607 90.00 90.00 90.00
Space group Cmcm (No. 63)
One atom of each set of equivalent atoms:
Fe  0.0000  0.0000  0.0000 x4
Fe  0.0000  0.0238  0.2500 x4
Fe  0.0000  0.4944  0.1347 x8
O  0.0000  0.3119  0.2500 x4
F  0.0000  0.2816  0.7500 x4
F  0.0000  0.3078  0.0006 x8
F  0.2064  0.0073  0.1221 x16

## Properties
Crystal system: orthorhombic
Total moment: 17.00 μB/f.u.

=====

Entry C
# Fe4OF7

Crystalline Fe4OF7 at its relaxed geometry (PBE+U, Alexandria).

Lattice parameters (Å, degrees): 9.3511 6.8438 9.2414 90.00 91.36 90.00
Space group C2/m (No. 12)
One atom of each set of equivalent atoms:
Fe  0.0000  0.0000  0.0000 x2
Fe  0.0000  0.5000  0.5000 x2
Fe  0.1146  0.0000  0.6411 x4
Fe  0.1202  0.5000  0.1293 x4
Fe  0.2320  0.0000  0.2535 x4
O  0.0182  0.0000  0.2062 x4
F  0.0000  0.1946  0.5000 x4
F  0.0000  0.3001  0.0000 x4
F  0.0370  0.5000  0.7231 x4
F  0.2190  0.0000  0.0152 x4
F  0.2320  0.5000  0.5157 x4
F  0.2470  0.3020  0.2577 x8

## Properties
Crystal system: monoclinic
Total moment: 15.98 μB/f.u.

=====

entry A comes first in stability; the runner-up is 1.9 kJ/mol of atoms higher.

=====

Entry A
# Fe4OF7

Crystalline Fe4OF7 at its relaxed geometry (PBE+U, Alexandria).

Lattice parameters (Å, degrees): 9.6600 6.4642 10.6658 90.00 114.61 90.00
Space group Cm (No. 8)
One atom of each set of equivalent atoms:
Fe  0.0000  0.0000  0.0000 x2
Fe  0.0105  0.5000  0.9884 x2
Fe  0.1251  0.2590  0.7549 x4
Fe  0.2475  0.0000  0.5030 x2
Fe  0.2615  0.5000  0.4888 x2
Fe  0.3752  0.2561  0.2563 x4
O  0.0811  0.5000  0.8509 x2
O  0.3348  0.5000  0.3536 x2
F  0.0730  0.0000  0.8512 x2
F  0.1105  0.2669  0.4071 x4
F  0.1419  0.2652  0.0968 x4
F  0.1726  0.0000  0.6563 x2
F  0.1852  0.5000  0.6426 x2
F  0.3184  0.0000  0.3491 x2
F  0.3606  0.2309  0.9086 x4
F  0.3933  0.2597  0.5950 x4
F  0.4220  0.0000  0.1515 x2
F  0.4326  0.5000  0.1517 x2

## Properties
Crystal system: monoclinic
Total moment: 17.00 μB/f.u.

=====

Entry B
# Fe4OF7

Crystalline Fe4OF7 at its relaxed geometry (PBE+U, Alexandria).

Lattice parameters (Å, degrees): 6.3627 13.6021 6.8772 90.00 90.00 90.00
Space group Cmcm (No. 63)
One atom of each set of equivalent atoms:
Fe  0.0000  0.1256  0.2500 x4
Fe  0.0000  0.3711  0.7500 x4
Fe  0.2281  0.3690  0.2500 x8
O  0.0000  0.2736  0.2500 x4
F  0.0000  0.0316  0.7500 x4
F  0.0000  0.2216  0.7500 x4
F  0.0000  0.4789  0.2500 x4
F  0.2461  0.3802  0.5433 x16

## Properties
Crystal system: orthorhombic
Total moment: 17.00 μB/f.u.

=====

Entry C
# Fe4OF7

Crystalline Fe4OF7 at its relaxed geometry (PBE+U, Alexandria).

Lattice parameters (Å, degrees): 5.7986 9.6176 5.7964 90.00 111.65 90.00
Space group Pc (No. 7)
One atom of each set of equivalent atoms:
Fe  0.0000  0.1229  0.0000 x2
Fe  0.5045  0.1309  0.4830 x2
Fe  0.5089  0.3688  0.0274 x2
Fe  0.9872  0.3671  0.4929 x2
O  0.6388  0.2802  0.3269 x2
F  0.1464  0.2255  0.3445 x2
F  0.1665  0.2821  0.8665 x2
F  0.3475  0.0180  0.1364 x2
F  0.3579  0.4713  0.6678 x2
F  0.6507  0.2335  0.8477 x2
F  0.8365  0.4740  0.1280 x2
F  0.8540  0.0276  0.6496 x2

## Properties
Crystal system: monoclinic
Total moment: 17.00 μB/f.u.

=====

entry A comes first in stability; the runner-up is 0.5 kJ/mol of atoms higher.

=====

Entry A
# Fe4OF7

Crystalline Fe4OF7 at its relaxed geometry (PBE+U, Alexandria).

Lattice parameters (Å, degrees): 5.8041 4.7891 10.8813 90.00 98.11 90.00
Space group Pc (No. 7)
One atom of each set of equivalent atoms:
Fe  0.0000  0.2301  0.0000 x2
Fe  0.2435  0.2434  0.7660 x2
Fe  0.5060  0.2507  0.5181 x2
Fe  0.7682  0.2414  0.2681 x2
O  0.9818  0.0570  0.8476 x2
F  0.0380  0.4425  0.1728 x2
F  0.2346  0.0347  0.5913 x2
F  0.2678  0.4553  0.9479 x2
F  0.4777  0.0543  0.3427 x2
F  0.5338  0.4499  0.6938 x2
F  0.7449  0.0520  0.0821 x2
F  0.7778  0.4610  0.4445 x2

## Properties
Crystal system: monoclinic
Total moment: 17.00 μB/f.u.

=====

Entry B
# Fe4OF7

Crystalline Fe4OF7 at its relaxed geometry (PBE+U, Alexandria).

Lattice parameters (Å, degrees): 6.3713 6.8860 6.8214 90.00 90.00 90.00
Space group Imm2 (No. 44)
One atom of each set of equivalent atoms:
Fe  0.0000  0.0000  0.0000 x2
Fe  0.0000  0.5000  0.4696 x2
Fe  0.2298  0.5000  0.0000 x4
O  0.0000  0.5000  0.1828 x2
F  0.0000  0.0000  0.3063 x2
F  0.0000  0.0000  0.6891 x2
F  0.0000  0.5000  0.7752 x2
F  0.2456  0.2060  0.9888 x8

## Properties
Crystal system: orthorhombic
Total moment: 17.00 μB/f.u.

=====

entry A comes first in stability; the runner-up is 2.3 kJ/mol of atoms higher.

=====

Entry A
# Fe2O3F

Crystalline Fe2O3F at its relaxed geometry (PBE+U, Alexandria).

Lattice parameters (Å, degrees): 4.6365 7.6073 9.7090 70.26 86.96 88.10
Space group P1 (No. 1)
One atom of each set of equivalent atoms:
Fe  0.0000  0.0000  0.0000 x1
Fe  0.0008  0.4011  0.8034 x1
Fe  0.0068  0.5910  0.2098 x1
Fe  0.0229  0.1890  0.4152 x1
Fe  0.0414  0.7867  0.6057 x1
Fe  0.4714  0.6812  0.9057 x1
Fe  0.4830  0.8887  0.2910 x1
Fe  0.4961  0.1058  0.7074 x1
Fe  0.5328  0.2958  0.1173 x1
Fe  0.5380  0.4997  0.5168 x1
O  0.1841  0.8297  0.1750 x1
O  0.1943  0.6308  0.7812 x1
O  0.2065  0.0267  0.5869 x1
O  0.3086  0.9328  0.8834 x1
O  0.3099  0.5265  0.0910 x1
O  0.3150  0.3427  0.6870 x1
O  0.3214  0.1293  0.2876 x1
O  0.3287  0.7334  0.4830 x1
O  0.7033  0.0565  0.1262 x1
O  0.7059  0.4553  0.9316 x1
O  0.7062  0.6555  0.3281 x1
O  0.7118  0.2562  0.5331 x1
O  0.8202  0.1622  0.8282 x1
O  0.8340  0.3556  0.2417 x1
O  0.8348  0.5623  0.6335 x1
F  0.2020  0.2391  0.9834 x1
F  0.2178  0.4343  0.3912 x1
F  0.7090  0.8537  0.7271 x1
F  0.8000  0.7533  0.0218 x1
F  0.8246  0.9470  0.4331 x1

## Properties
Crystal system: triclinic
Total moment: 7.40 μB/f.u.

=====

Entry B
# Fe2O3F

Crystalline Fe2O3F at its relaxed geometry (PBE+U, Alexandria).

Lattice parameters (Å, degrees): 6.0178 14.0345 6.3754 90.00 90.00 90.00
Space group Cmcm (No. 63)
One atom of each set of equivalent atoms:
Fe  0.0000  0.1066  0.2500 x4
Fe  0.0000  0.3703  0.7500 x4
Fe  0.2482  0.3768  0.2500 x8
O  0.0000  0.0355  0.7500 x4
O  0.0000  0.2943  0.2500 x4
O  0.2477  0.1240  0.0561 x16
F  0.0000  0.2242  0.7500 x4
F  0.0000  0.4799  0.2500 x4

## Properties
Crystal system: orthorhombic
Total moment: 9.00 μB/f.u.

=====

Entry C
# Fe2O3F

Crystalline Fe2O3F at its relaxed geometry (PBE+U, Alexandria).

Lattice parameters (Å, degrees): 6.3876 6.8548 12.0596 90.00 90.00 90.00
Space group Cmcm (No. 63)
One atom of each set of equivalent atoms:
Fe  0.0000  0.0000  0.0000 x4
Fe  0.0000  0.0113  0.2500 x4
Fe  0.0000  0.4724  0.1249 x8
O  0.0000  0.1805  0.1212 x8
O  0.1934  0.4879  0.2500 x8
O  0.1936  0.5000  0.0000 x8
F  0.0000  0.2019  0.6270 x8

## Properties
Crystal system: orthorhombic
Total moment: 9.00 μB/f.u.

=====

entry C comes first in stability; the runner-up is 1.9 kJ/mol of atoms higher.